(1)
The following is a PBE calculation of a relaxed CsZn2CrCl8 crystal, from Alexandria via LeMat-Bulk.

Unit cell a=6.2292 b=6.2292 c=11.1015 alpha=73.71 beta=73.71 gamma=60.00
With the nearest neighbours (Å) after each atom.
Element x y z (fractional)
Cs (0.5000, 0.5000, 0.5000)  6 Cl 3.72
Zn (0.2677, 0.2677, 0.1970)  4 Cl 2.23-2.33
Zn (0.7323, 0.7323, 0.8030)  4 Cl 2.23-2.33
Cr (0.0000, 0.0000, 0.0000)  6 Cl 2.37
Cl (0.1968, 0.1968, 0.4096)  1 Zn 2.23
Cl (0.6550, 0.2710, 0.1320)  1 Zn 2.33, 1 Cr 2.37
Cl (0.8032, 0.8032, 0.5904)  1 Zn 2.23
Cl (0.9420, 0.6550, 0.1320)  1 Zn 2.33, 1 Cr 2.37
Cl (0.0580, 0.3450, 0.8680)  1 Zn 2.33, 1 Cr 2.37
Cl (0.2710, 0.9420, 0.1320)  1 Zn 2.33, 1 Cr 2.37
Cl (0.7290, 0.0580, 0.8680)  1 Zn 2.33, 1 Cr 2.37
Cl (0.3450, 0.7290, 0.8680)  1 Zn 2.33, 1 Cr 2.37

Output
Space group: R-3 (148)
Uncorrected formation energy in eV/f.u.: -15.141
E in hartree per atom: -0.1315

(2)
The following is a PBE calculation of a relaxed LaTcCl2 crystal, from Alexandria via LeMat-Bulk.

Unit cell a=3.6307 b=3.6307 c=6.9306 alpha=90.00 beta=90.00 gamma=90.00
With the nearest neighbours (Å) after each atom.
Element x y z (fractional)
Cl (0.0000, 0.0000, 0.0233)  4 La 3.01, 1 Cl 3.14, 4 Tc 3.19
Cl (0.0000, 0.0000, 0.4767)  4 La 3.01, 1 Cl 3.14, 4 Tc 3.19
Tc (0.5000, 0.5000, 0.7500)  8 Cl 3.19, 2 La 3.47
La (0.5000, 0.5000, 0.2500)  8 Cl 3.01

Output
Energy above the most stable polymorph in this dataset in kJ per mole of atoms: 49.2
Space group: P4/mmm (123)
Uncorrected formation energy in eV/f.u.: -0.999
E in hartree per atom: -0.1836